First-principles (GGA-PBE) data for an optimized crystal structure of Zn2AgPd8, as listed in Alexandria via LeMat-Bulk.

Cell: 7.277 7.277 7.277 Å, 147.19 122.89 67.45°
Fractional positions:
Zn 0.195 0.195 0.000
Zn 0.805 0.805 0.000
Ag 0.500 0.500 0.000
Pd 0.059 0.341 0.718
Pd 0.195 0.000 0.195
Pd 0.347 0.847 0.500
Pd 0.377 0.659 0.718
Pd 0.623 0.341 0.282
Pd 0.653 0.153 0.500
Pd 0.805 0.000 0.805
Pd 0.941 0.659 0.282

=====

First-principles (GGA-PBE) data for an optimized crystal structure of Zn5Ag4Pd, as listed in Alexandria via LeMat-Bulk.

Cell: 3.166 3.166 15.759 Å, 90.00 90.00 90.00°
Fractional positions:
Zn 0.000 0.000 0.000
Zn 0.000 0.000 0.203
Zn 0.000 0.000 0.408
Zn 0.000 0.000 0.592
Zn 0.000 0.000 0.797
Ag 0.500 0.500 0.101
Ag 0.500 0.500 0.305
Ag 0.500 0.500 0.695
Ag 0.500 0.500 0.899
Pd 0.500 0.500 0.500

=====

First-principles (GGA-PBE) data for an optimized crystal structure of Zn3Ag2Pd, as listed in Alexandria via LeMat-Bulk.

Cell: 3.065 3.065 9.973 Å, 90.00 90.00 90.00°
Fractional positions:
Zn 0.000 0.000 0.000
Zn 0.000 0.000 0.346
Zn 0.000 0.000 0.654
Ag 0.500 0.500 0.173
Ag 0.500 0.500 0.827
Pd 0.500 0.500 0.500

=====

First-principles (GGA-PBE) data for an optimized crystal structure of Zn2AgPd, as listed in Alexandria via LeMat-Bulk.

Cell: 9.452 9.452 9.452 Å, 156.22 156.22 33.89°
Fractional positions:
Zn 0.110 0.625 0.985
Zn 0.375 0.360 0.485
Zn 0.640 0.125 0.015
Zn 0.875 0.890 0.515
Ag 0.250 0.750 0.500
Ag 0.500 0.500 0.000
Pd 0.000 0.000 0.000
Pd 0.750 0.250 0.500

=====

First-principles (GGA-PBE) data for an optimized crystal structure of Zn3Ag2Pd2, as listed in Alexandria via LeMat-Bulk.

Cell: 3.829 4.551 7.548 Å, 84.99 75.56 65.21°
Fractional positions:
Zn 0.000 0.000 0.000
Zn 0.498 0.768 0.240
Zn 0.502 0.232 0.760
Ag 0.282 0.826 0.607
Ag 0.718 0.174 0.393
Pd 0.250 0.376 0.125
Pd 0.750 0.624 0.875

=====

First-principles (GGA-PBE) data for an optimized crystal structure of ZnAgPd, as listed in Alexandria via LeMat-Bulk.

Cell: 12.026 12.026 12.026 Å, 166.19 166.19 19.58°
Fractional positions:
Zn 0.123 0.123 0.000
Zn 0.877 0.877 0.000
Ag 0.296 0.296 0.000
Ag 0.704 0.704 0.000
Pd 0.444 0.444 0.000
Pd 0.556 0.556 0.000

=====

First-principles (GGA-PBE) data for an optimized crystal structure of Zn9Ag2Pd, as listed in Alexandria via LeMat-Bulk.

Cell: 4.820 5.566 6.966 Å, 90.66 103.07 90.62°
Fractional positions:
Zn 0.000 0.000 0.000
Zn 0.214 0.501 0.673
Zn 0.218 0.001 0.670
Zn 0.273 0.745 0.324
Zn 0.499 0.254 0.001
Zn 0.501 0.746 0.999
Zn 0.727 0.255 0.676
Zn 0.782 0.999 0.330
Zn 0.786 0.499 0.327
Ag 0.291 0.246 0.344
Ag 0.709 0.754 0.656
Pd 0.000 0.500 0.000

=====

First-principles (GGA-PBE) data for an optimized crystal structure of ZnAg2Pd4, as listed in Alexandria via LeMat-Bulk.

Cell: 6.759 6.759 6.759 Å, 109.78 109.78 108.86°
Fractional positions:
Zn 0.000 0.000 0.000
Zn 0.750 0.250 0.500
Ag 0.261 0.625 0.136
Ag 0.375 0.511 0.636
Ag 0.489 0.125 0.864
Ag 0.875 0.739 0.364
Pd 0.105 0.204 0.743
Pd 0.112 0.711 0.757
Pd 0.289 0.046 0.401
Pd 0.461 0.362 0.257
Pd 0.638 0.895 0.099
Pd 0.645 0.888 0.599
Pd 0.796 0.539 0.901
Pd 0.954 0.355 0.243

=====

First-principles (GGA-PBE) data for an optimized crystal structure of ZnAgPd3, as listed in Alexandria via LeMat-Bulk.

Cell: 8.367 8.367 6.572 Å, 101.53 101.53 20.17°
Fractional positions:
Zn 0.100 0.100 0.078
Zn 0.900 0.900 0.922
Ag 0.101 0.101 0.532
Ag 0.899 0.899 0.468
Pd 0.291 0.291 0.673
Pd 0.312 0.312 0.125
Pd 0.492 0.492 0.220
Pd 0.508 0.508 0.780
Pd 0.688 0.688 0.875
Pd 0.709 0.709 0.327

=====

First-principles (GGA-PBE) data for an optimized crystal structure of Zn4Ag3Pd, as listed in Alexandria via LeMat-Bulk.

Cell: 8.251 5.645 5.475 Å, 90.00 90.00 90.00°
Fractional positions:
Zn 0.000 0.000 0.000
Zn 0.000 0.499 0.999
Zn 0.250 0.229 0.750
Zn 0.250 0.771 0.250
Zn 0.500 0.000 0.500
Zn 0.500 0.501 0.499
Zn 0.750 0.229 0.750
Zn 0.750 0.771 0.250
Ag 0.000 0.500 0.499
Ag 0.250 0.260 0.250
Ag 0.250 0.740 0.750
Ag 0.500 0.500 0.999
Ag 0.750 0.260 0.250
Ag 0.750 0.740 0.750
Pd 0.000 0.000 0.500
Pd 0.500 0.000 0.000

=====

First-principles (GGA-PBE) data for an optimized crystal structure of ZnAgPd3, as listed in Alexandria via LeMat-Bulk.

Cell: 4.628 4.628 4.628 Å, 90.00 90.00 90.00°
Fractional positions:
Zn 0.000 0.000 0.000
Ag 0.500 0.500 0.500
Pd 0.000 0.000 0.500
Pd 0.000 0.500 0.000
Pd 0.500 0.000 0.000

=====

First-principles (GGA-PBE) data for an optimized crystal structure of Zn3AgPd, as listed in Alexandria via LeMat-Bulk.

Cell: 4.584 4.618 7.536 Å, 72.69 87.53 83.01°
Fractional positions:
Zn 0.232 0.284 0.499
Zn 0.238 0.087 0.899
Zn 0.243 0.490 0.093
Zn 0.757 0.510 0.907
Zn 0.762 0.913 0.101
Zn 0.768 0.716 0.501
Ag 0.266 0.885 0.299
Ag 0.734 0.115 0.701
Pd 0.267 0.675 0.707
Pd 0.733 0.325 0.293

=====

Summary of energy of formation from the pure elements in eV/atom
-0.18 -0.13 -0.21 -0.02 -0.23 -0.13 -0.13 0.01 -0.26 -0.13 0.43 -0.24
(order as listed above)